1.
# TaCuPdPb

Crystalline TaCuPdPb at its relaxed geometry (PBE-GGA, OQMD via LeMat-Bulk).

POSCAR file:
```
TaCuPdPb
1.0
2.758 2.288 2.937
-1.825 2.958 3.064
-0.031 -1.061 4.510
Pb Ta Cu Pd
1 1 1 1
direct
0.000 0.000 0.000 Pb
0.500 0.500 0.500 Ta
0.750 0.750 0.750 Cu
0.250 0.250 0.250 Pd
```

Output
* energy above the most stable polymorph in this dataset: 0.0000 eV/atom
* total magnetic moment: 0.0 μB per formula unit
* crystal system: cubic



2.
# Si3Pd4Pb

Crystalline Si3Pd4Pb at its relaxed geometry (PBE-GGA, OQMD via LeMat-Bulk).

POSCAR file:
```
Si3Pd4Pb
1.0
-0.656 -1.372 -5.706
-1.682 -2.970 0.907
-5.627 3.170 -0.061
Si Pd Pb
3 4 1
direct
0.186 0.500 0.068 Si
0.704 0.500 0.400 Si
0.814 0.000 0.926 Si
0.508 0.000 0.192 Pd
0.961 0.500 0.699 Pd
0.521 0.500 0.853 Pd
0.990 0.000 0.277 Pd
0.317 0.000 0.585 Pb
```

Output
* DFT total energy: -5.49 eV/atom
* crystal system: monoclinic



3.
# CsCu3MoS4

Crystalline CsCu3MoS4 at its relaxed geometry (PBE-GGA, OQMD via LeMat-Bulk).

POSCAR file:
```
CsCu3MoS4
1.0
-1.788 -1.237 -5.683
5.793 -0.901 -1.627
-0.510 -5.889 1.442
S Cs Mo Cu
4 1 1 3
direct
0.286 0.286 0.286 S
0.714 0.286 0.714 S
0.714 0.714 0.286 S
0.286 0.714 0.714 S
0.000 0.000 0.000 Cs
0.500 0.500 0.500 Mo
0.500 0.500 0.000 Cu
0.000 0.500 0.500 Cu
0.500 0.000 0.500 Cu
```

Output
* total magnetic moment: 2.0 μB per formula unit
* DFT total energy: -4.65 eV/atom
* crystal system: cubic



4.
# Pm3Zn4Si4

Crystalline Pm3Zn4Si4 at its relaxed geometry (PBE-GGA, OQMD via LeMat-Bulk).

POSCAR file:
```
Pm3Zn4Si4
1.0
4.144 0.000 0.000
0.001 4.150 0.000
2.071 2.074 12.355
Zn Pm Si
4 3 4
direct
0.594 0.094 0.811 Zn
0.750 0.750 0.500 Zn
0.406 0.906 0.189 Zn
0.250 0.250 0.500 Zn
0.855 0.356 0.289 Pm
0.000 0.000 0.000 Pm
0.145 0.644 0.711 Pm
0.310 0.809 0.381 Si
0.547 0.548 0.905 Si
0.453 0.452 0.095 Si
0.690 0.191 0.619 Si
```

Output
* total magnetic moment: 0.0 μB per formula unit
* DFT total energy: -4.30 eV/atom
* crystal system: orthorhombic



5.
# Tm2Al4NiIr

Crystalline Tm2Al4NiIr at its relaxed geometry (PBE-GGA, OQMD via LeMat-Bulk).

POSCAR file:
```
Tm2Al4NiIr
1.0
7.012 0.000 0.000
0.000 2.052 4.990
0.000 -2.052 4.990
Al Tm Ni Ir
4 2 1 1
direct
0.703 0.848 0.848 Al
0.297 0.848 0.848 Al
0.810 0.150 0.150 Al
0.190 0.150 0.150 Al
0.500 0.568 0.568 Tm
0.000 0.437 0.437 Tm
0.000 0.714 0.714 Ni
0.500 0.285 0.285 Ir
```

Output
* total magnetic moment: 0.0 μB per formula unit
* DFT total energy: -5.55 eV/atom
* crystal system: orthorhombic



6.
# Ta4FeCuC2

Crystalline Ta4FeCuC2 at its relaxed geometry (PBE-GGA, OQMD via LeMat-Bulk).

POSCAR file:
```
Ta4FeCuC2
1.0
-2.494 -1.645 0.778
1.405 -0.511 -2.701
7.770 -9.059 5.753
Cu Ta C Fe
1 4 2 1
direct
0.000 0.000 0.000 Cu
0.000 0.000 0.648 Ta
0.333 0.667 0.840 Ta
0.333 0.667 0.160 Ta
0.000 0.000 0.352 Ta
0.667 0.333 0.255 C
0.667 0.333 0.745 C
0.333 0.667 0.500 Fe
```

Output
* total magnetic moment: 1.0 μB per formula unit
* DFT total energy: -9.97 eV/atom
* crystal system: hexagonal



Q: Number 5 is which compound?
A: Tm2Al4NiIr